A geometry-optimized NiPdAu2O8 structure. Source: Alexandria via LeMat-Bulk, functional GGA+U.

CIF file:
```
data_NiPdAu2O8
_space_group_name_H-M_alt 'I -4 m 2'
_space_group_IT_number 119
_space_group_name_Hall 'I -4 -2'
_cell_length_a 6.3776
_cell_length_b 6.3776
_cell_length_c 7.1411
_cell_angle_alpha 90.00
_cell_angle_beta 90.00
_cell_angle_gamma 90.00
loop_
_atom_site_label
_atom_site_fract_x
_atom_site_fract_y
_atom_site_fract_z
_atom_site_occupancy
Ni1 0.0000 0.0000 0.0000 1
Pd1 0.0000 0.5000 0.7500 1
Au1 0.0000 0.0000 0.5000 1
Au2 0.0000 0.5000 0.2500 1
O1 0.0000 0.1808 0.7333 1
O2 0.0000 0.3168 0.0280 1
```

Output
The value obtained for the total energy is -4.1590 eV per atom. As for the density: 7.86 Mg/m³. The density of states at the Fermi level comes out at 16.0 states/eV/cell. The total magnetic moment is 4.38 μB/cell.